Here is crystalline Nd4BiH at its relaxed geometry from the Alexandria database. Energies are from PBE.

Computed properties:
DFT total energy   -4.627 eV/atom
Magnetic moment   0.00 μB/cell

Unit cell a=6.2484 b=6.2849 c=9.2421 alpha=81.91 beta=70.27 gamma=89.94
With the nearest neighbours (Å) after each atom.
Fractional positions:
Nd  0.0954  0.3086  0.0851  2 H 2.34-2.62
Nd  0.2059  0.2483  0.6853  1 H 2.96, 2 Nd 3.22-3.24
Nd  0.3196  0.8090  0.0849  2 H 2.34-2.61
Nd  0.3929  0.2530  0.3143  1 H 2.95, 2 Nd 3.22-3.24
Nd  0.6071  0.7470  0.6857  1 H 2.95, 2 Nd 3.22-3.24
Nd  0.6804  0.1910  0.9151  2 H 2.34-2.61
Nd  0.7941  0.7517  0.3147  1 H 2.96, 2 Nd 3.22-3.24
Nd  0.9046  0.6914  0.9149  2 H 2.34-2.62
Bi  0.2147  0.7508  0.4998  10 Nd 3.37-3.77
Bi  0.7853  0.2492  0.5002  10 Nd 3.37-3.77
H  0.0000  0.0000  0.0000  4 Nd 2.34-2.61
H  0.5000  0.5000  0.0000  4 Nd 2.34-2.62



Here is crystalline Mn2SeBr2 at its relaxed geometry from the Alexandria database. Energies are from PBE.

Computed properties:
DFT total energy   -5.630 eV/atom
Formation energy from raw total energies   -3.0 eV/f.u.
Magnetic moment   10.00 μB/cell

Unit cell a=3.8799 b=3.8799 c=10.1602 alpha=90.57 beta=90.57 gamma=60.01
With the nearest neighbours (Å) after each atom.
Fractional positions:
Mn  0.1697  0.1697  0.1561  3 Br 2.70, 3 Se 2.74-2.75
Mn  0.8303  0.8303  0.8439  3 Br 2.70, 3 Se 2.74-2.75
Se  0.5000  0.5000  0.0000  6 Mn 2.74-2.75
Br  0.1613  0.1613  0.6951  3 Mn 2.70
Br  0.8387  0.8387  0.3049  3 Mn 2.70



Here is crystalline Ac2ErIrO8 at its relaxed geometry from the Alexandria database. Energies are from PBE.

Computed properties:
DFT total energy   -7.338 eV/atom
Formation energy from raw total energies   -26.8 eV/f.u.
Magnetic moment   0.92 μB/cell

Unit cell a=4.6037 b=7.2161 c=5.5402 alpha=90.00 beta=96.53 gamma=90.00
With the nearest neighbours (Å) after each atom.
Fractional positions:
Ac  0.0000  0.2430  0.0000  4 O 2.34-2.60
Ac  0.0000  0.7570  0.0000  4 O 2.34-2.60
Er  0.5000  0.5000  0.5000  2 O 2.17
Ir  0.5000  0.0000  0.5000  6 O 1.84-2.01
O  0.0982  0.5000  0.2528  1 Er 2.17, 2 Ac 2.34
O  0.1244  0.0000  0.3437  1 Ir 1.84
O  0.4211  0.2121  0.7189  1 Ir 2.01
O  0.4211  0.7879  0.7189  1 Ir 2.01
O  0.5789  0.2121  0.2811  1 Ir 2.01
O  0.5789  0.7879  0.2811  1 Ir 2.01
O  0.8756  0.0000  0.6563  1 Ir 1.84
O  0.9018  0.5000  0.7472  1 Er 2.17, 2 Ac 2.34



Here is crystalline BaNdBeN2 at its relaxed geometry from the Alexandria database. Energies are from PBE.

Computed properties:
DFT total energy   -6.155 eV/atom
Formation energy from raw total energies   -3.7 eV/f.u.
Magnetic moment   0.00 μB/cell

Unit cell a=5.3707 b=5.6691 c=7.0746 alpha=90.00 beta=90.00 gamma=90.00
With the nearest neighbours (Å) after each atom.
Fractional positions:
Ba  0.0000  0.0000  0.2500  4 N 2.90
Ba  0.0000  0.0000  0.7500  4 N 2.90
Nd  0.5000  0.5000  0.2500  4 N 2.45
Nd  0.5000  0.5000  0.7500  4 N 2.45
Be  0.0000  0.5000  0.0000  2 N 1.54
Be  0.0000  0.5000  0.5000  2 N 1.54
N  0.2323  0.3399  0.0000  1 Be 1.54
N  0.2323  0.6601  0.5000  1 Be 1.54
N  0.7677  0.3399  0.5000  1 Be 1.54
N  0.7677  0.6601  0.0000  1 Be 1.54



What did the first record say?
Here is crystalline Nd4BiH at its relaxed geometry from the Alexandria database. Energies are from PBE.

Computed properties:
DFT total energy   -4.627 eV/atom
Magnetic moment   0.00 μB/cell

Unit cell a=6.2484 b=6.2849 c=9.2421 alpha=81.91 beta=70.27 gamma=89.94
With the nearest neighbours (Å) after each atom.
Fractional positions:
Nd  0.0954  0.3086  0.0851  2 H 2.34-2.62
Nd  0.2059  0.2483  0.6853  1 H 2.96, 2 Nd 3.22-3.24
Nd  0.3196  0.8090  0.0849  2 H 2.34-2.61
Nd  0.3929  0.2530  0.3143  1 H 2.95, 2 Nd 3.22-3.24
Nd  0.6071  0.7470  0.6857  1 H 2.95, 2 Nd 3.22-3.24
Nd  0.6804  0.1910  0.9151  2 H 2.34-2.61
Nd  0.7941  0.7517  0.3147  1 H 2.96, 2 Nd 3.22-3.24
Nd  0.9046  0.6914  0.9149  2 H 2.34-2.62
Bi  0.2147  0.7508  0.4998  10 Nd 3.37-3.77
Bi  0.7853  0.2492  0.5002  10 Nd 3.37-3.77
H  0.0000  0.0000  0.0000  4 Nd 2.34-2.61
H  0.5000  0.5000  0.0000  4 Nd 2.34-2.62